Here is crystalline CuS2N at its relaxed geometry from Alexandria. Energies are from PBE-GGA.

Values from the calculation:
SG: I-42d (122)
total energy: -4.362 eV per atom

Geometry as POSCAR:
```
CuS2N
1.0
4.8503 0.0000 0.0000
0.0000 4.8503 0.0000
2.4252 2.4252 5.2434
S Cu N
4 2 2
Cartesian
3.6378 3.8345 3.9325
3.4410 1.2126 1.3108
6.0629 5.8661 3.9325
1.4094 3.6378 1.3108
0.0000 0.0000 0.0000
4.8503 2.4252 2.6217
2.4252 4.8503 2.6217
2.4252 2.4252 0.0000
```

---

Here is crystalline CuS2N2 at its relaxed geometry from Alexandria. Energies are from PBE-GGA.

Values from the calculation:
SG: P4/mmm (123)
total energy: -3.548 eV per atom

Geometry as POSCAR:
```
CuS2N2
1.0
4.5915 0.0000 0.0000
0.0000 4.5915 0.0000
0.0000 0.0000 3.4743
Cu S N
1 2 2
Cartesian
0.0000 0.0000 0.0000
2.2957 0.0000 0.0000
0.0000 2.2957 0.0000
0.0000 0.0000 1.7371
2.2957 2.2957 1.7371
```

---

Here is crystalline CuSbS2N at its relaxed geometry from Alexandria. Energies are from PBE-GGA.

Values from the calculation:
SG: P4/mmm (123)
total energy: -4.242 eV per atom

Geometry as POSCAR:
```
CuSbS2N
1.0
-2.5613 -1.3924 3.7947
2.4593 -4.1021 0.1547
2.4639 1.5615 2.2361
S Sb Cu N
2 1 1 1
Cartesian
1.2296 -2.0510 0.0774
-1.2807 -0.6962 1.8973
1.1810 -1.9665 3.0927
0.0000 0.0000 0.0000
1.2320 0.7808 1.1180
```